No. 1
A plane-wave DFT calculation with PBE was carried out for a geometry-optimized ScGaHg structure.

```
ScGaHg
1.0
-1.237 0.465 4.325
-4.117 -1.319 1.329
-0.467 -3.654 2.624
Sc Ga Hg
1 1 1
direct
0.750 0.750 0.750 Sc
0.000 0.000 0.000 Ga
0.250 0.250 0.250 Hg
```

Computed properties:
density	8.00	g/cm3
final energy	-3.539	eV per atom
space-group type	F-43m (216)
M_tot	0.001	μB per cell

No. 2
A plane-wave DFT calculation with PBE was carried out for a geometry-optimized Ga2HgSe4 structure.

```
Ga2HgSe4
1.0
-5.334 -1.329 2.005
2.019 0.235 5.506
0.400 5.879 -3.514
Se Ga Hg
4 2 1
direct
0.417 0.399 0.280 Se
0.863 0.878 0.280 Se
0.599 0.137 0.718 Se
0.122 0.585 0.722 Se
0.500 0.499 0.000 Ga
0.251 0.750 0.500 Ga
0.998 0.002 0.000 Hg
```

Computed properties:
density	5.78	g/cm3
final energy	-3.408	eV per atom
space-group type	P1 (1)

No. 3
A plane-wave DFT calculation with PBE was carried out for a geometry-optimized GaHgSe3 structure.

```
GaHgSe3
1.0
-3.574 5.160 3.311
3.574 -5.160 3.311
3.574 5.160 -3.311
Se Ga Hg
6 2 2
direct
0.403 0.153 0.250 Se
0.831 0.500 0.831 Se
0.169 0.500 0.169 Se
0.597 0.847 0.750 Se
0.169 0.000 0.669 Se
0.831 0.000 0.331 Se
0.500 0.000 0.500 Ga
0.000 0.000 0.000 Ga
0.202 0.452 0.750 Hg
0.798 0.548 0.250 Hg
```

Computed properties:
density	6.90	g/cm3
final energy	-2.821	eV per atom
space-group type	Imma (74)

No. 4
A plane-wave DFT calculation with PBE was carried out for a geometry-optimized Ga2HgSe4 structure.

```
Ga2HgSe4
1.0
4.140 -5.489 0.000
4.140 5.489 0.000
-4.122 0.000 4.146
Se Ga Hg
4 2 1
direct
0.878 0.599 0.015 Se
0.584 0.863 0.463 Se
0.137 0.416 0.537 Se
0.401 0.122 0.985 Se
0.500 0.500 0.000 Ga
0.750 0.250 0.500 Ga
0.000 0.000 0.000 Hg
```

Computed properties:
density	5.78	g/cm3
final energy	-3.408	eV per atom
space-group type	C2 (5)

No. 5
A plane-wave DFT calculation with PBE was carried out for a geometry-optimized GaHgSe structure.

```
GaHgSe
1.0
3.816 0.000 0.000
0.000 7.875 4.521
0.000 -7.875 4.521
Ga Se Hg
3 3 3
direct
0.000 0.711 0.999 Ga
0.000 0.999 0.711 Ga
0.000 0.289 0.289 Ga
0.500 0.001 0.538 Se
0.500 0.538 0.001 Se
0.500 0.463 0.463 Se
0.000 0.333 0.666 Hg
0.000 0.000 0.000 Hg
0.000 0.666 0.333 Hg
```

Computed properties:
density	6.40	g/cm3
final energy	-2.367	eV per atom
space-group type	Amm2 (38)

No. 6
A plane-wave DFT calculation with PBE was carried out for a geometry-optimized Ga2HgTe3Se structure.

```
Ga2HgTe3Se
1.0
6.141 0.000 0.000
-0.138 6.195 0.000
-2.893 -3.138 5.877
Te Ga Se Hg
3 2 1 1
direct
0.386 0.858 0.278 Te
0.888 0.421 0.278 Te
0.132 0.114 0.713 Te
0.506 0.503 0.992 Ga
0.743 0.262 0.509 Ga
0.599 0.599 0.731 Se
0.996 0.993 0.999 Hg
```

Computed properties:
density	5.95	g/cm3
final energy	-3.100	eV per atom
space-group type	P1 (1)

No. 7
A plane-wave DFT calculation with PBE was carried out for a geometry-optimized Ga2Si3Hg2 structure.

```
Ga2Si3Hg2
1.0
-7.502 4.438 4.438
-4.438 4.438 7.502
-4.438 7.502 4.438
Si Ga Hg
3 2 2
direct
0.382 0.382 0.382 Si
0.563 0.563 0.563 Si
0.912 0.912 0.912 Si
0.750 0.750 0.750 Ga
0.283 0.283 0.283 Ga
0.476 0.476 0.476 Hg
0.009 0.009 0.009 Hg
```

Computed properties:
density	6.75	g/cm3
final energy	-2.963	eV per atom
space-group type	R3m (160)

No. 8
A plane-wave DFT calculation with PBE was carried out for a geometry-optimized GaSnHg structure.

```
GaSnHg
1.0
-4.546 -0.302 1.489
-2.047 3.722 2.220
-3.420 2.526 -2.214
Hg Ga Sn
1 1 1
direct
0.250 0.250 0.250 Hg
0.000 0.000 0.000 Ga
0.750 0.750 0.750 Sn
```

Computed properties:
density	8.30	g/cm3
final energy	-2.354	eV per atom
space-group type	F-43m (216)

No. 9
A plane-wave DFT calculation with PBE was carried out for a geometry-optimized Ga2Sn2Hg structure.

```
Ga2Sn2Hg
1.0
-0.066 -6.425 2.115
-4.487 -1.608 0.381
-0.548 -6.205 -2.638
Hg Ga Sn
1 2 2
direct
0.000 0.000 0.000 Hg
0.250 0.250 0.250 Ga
0.750 0.750 0.750 Ga
0.378 0.622 0.378 Sn
0.622 0.378 0.622 Sn
```

Computed properties:
density	7.16	g/cm3
final energy	-2.773	eV per atom
space-group type	I4/mmm (139)

No. 10
A plane-wave DFT calculation with PBE was carried out for a geometry-optimized GaSn2Hg structure.

```
GaSn2Hg
1.0
0.000 3.715 3.715
3.715 0.000 3.715
3.715 3.715 0.000
Hg Ga Sn
1 1 2
direct
0.250 0.250 0.250 Hg
0.500 0.500 0.500 Ga
0.000 0.000 0.000 Sn
0.750 0.750 0.750 Sn
```

Computed properties:
density	8.22	g/cm3
final energy	-2.759	eV per atom
space-group type	F-43m (216)

No. 11
A plane-wave DFT calculation with PBE was carried out for a geometry-optimized SrGa2Hg structure.

```
SrGa2Hg
1.0
-2.432 -1.995 4.123
-4.530 -2.451 -0.597
-0.266 -5.142 0.616
Ga Hg Sr
2 1 1
direct
0.750 0.750 0.750 Ga
0.000 0.000 0.000 Ga
0.250 0.250 0.250 Hg
0.500 0.500 0.500 Sr
```

Computed properties:
density	7.20	g/cm3
final energy	-2.263	eV per atom
space-group type	F-43m (216)

No. 12
A plane-wave DFT calculation with PBE was carried out for a geometry-optimized TaGaHg2 structure.

```
TaGaHg2
1.0
-0.052 -4.487 1.797
-0.612 -0.696 4.744
-4.129 -1.894 1.651
Ga Ta Hg
1 1 2
direct
0.500 0.500 0.500 Ga
0.250 0.250 0.250 Ta
0.000 0.000 0.000 Hg
0.750 0.750 0.750 Hg
```

Computed properties:
density	13.56	g/cm3
final energy	-3.232	eV per atom
space-group type	F-43m (216)
M_tot	1.597	μB per cell